No. 1
CsPb (PBE, relaxed); space group = No. 216; E = -0.123 Ry/atom; DOS(E_F) = 1.8 states/eV/cell; energy relative to the elements = 1.2 eV per formula unit; crystal system = cubic; ΔE to the lowest computed polymorph = 868 meV per atom
1.0
9.252 0.000 0.000
0.000 9.252 0.000
0.000 0.000 9.252
Cs Pb
4 4
direct
0.250 0.250 0.250 Cs
0.250 0.750 0.750 Cs
0.750 0.250 0.750 Cs
0.750 0.750 0.250 Cs
0.000 0.000 0.000 Pb
0.000 0.500 0.500 Pb
0.500 0.000 0.500 Pb
0.500 0.500 0.000 Pb



No. 2
CsPb12 (PBE, relaxed); space group = No. 225; E = -0.241 Ry/atom; DOS(E_F) = 7.5 states/eV/cell; energy relative to the elements = 2.6 eV per formula unit; crystal system = cubic; ΔE to the lowest computed polymorph = 236 meV per atom
1.0
9.590 0.000 0.000
4.795 8.305 0.000
4.795 2.768 7.830
Cs Pb
1 12
direct
0.000 0.000 0.000 Cs
0.836 0.500 0.500 Pb
0.164 0.500 0.500 Pb
0.164 0.836 0.500 Pb
0.500 0.500 0.164 Pb
0.500 0.164 0.836 Pb
0.500 0.836 0.164 Pb
0.164 0.500 0.836 Pb
0.500 0.164 0.500 Pb
0.500 0.500 0.836 Pb
0.836 0.500 0.164 Pb
0.500 0.836 0.500 Pb
0.836 0.164 0.500 Pb



No. 3
Cs5Pb4 (PBE, relaxed); space group = No. 12; E = -0.165 Ry/atom; DOS(E_F) = 6.0 states/eV/cell; energy relative to the elements = -1.1 eV per formula unit; crystal system = monoclinic
1.0
6.737 0.000 0.000
3.368 6.430 -0.917
3.368 0.492 11.069
Cs Pb
5 4
direct
0.155 0.144 0.545 Cs
0.845 0.856 0.455 Cs
0.764 0.625 0.846 Cs
0.236 0.375 0.154 Cs
0.000 0.000 0.000 Cs
0.492 0.219 0.797 Pb
0.508 0.781 0.203 Pb
0.405 0.550 0.640 Pb
0.595 0.450 0.360 Pb



No. 4
CsPb6 (PBE, relaxed); space group = No. 229; E = -0.235 Ry/atom; DOS(E_F) = 4.3 states/eV/cell; energy relative to the elements = 0.8 eV per formula unit; crystal system = cubic; ΔE to the lowest computed polymorph = 139 meV per atom
1.0
-4.382 -2.522 5.600
-3.501 -1.048 -6.600
6.526 -3.786 0.014
Cs Pb
1 6
direct
0.000 0.000 0.000 Cs
0.250 0.750 0.500 Pb
0.500 0.750 0.250 Pb
0.250 0.500 0.750 Pb
0.750 0.250 0.500 Pb
0.500 0.250 0.750 Pb
0.750 0.500 0.250 Pb



No. 5
CsPb (PBE, relaxed); space group = No. 223; E = -0.123 Ry/atom; DOS(E_F) = 5.2 states/eV/cell; energy relative to the elements = 1.2 eV per formula unit; crystal system = cubic; ΔE to the lowest computed polymorph = 867 meV per atom
1.0
-5.639 4.308 -8.806
-9.775 -1.708 5.425
0.737 10.316 4.575
Cs Pb
6 6
direct
0.250 0.000 0.500 Cs
0.750 0.000 0.500 Cs
0.000 0.500 0.250 Cs
0.000 0.500 0.750 Cs
0.500 0.250 0.000 Cs
0.500 0.750 0.000 Cs
0.250 0.500 0.000 Pb
0.750 0.500 0.000 Pb
0.500 0.000 0.250 Pb
0.500 0.000 0.750 Pb
0.000 0.250 0.500 Pb
0.000 0.750 0.500 Pb



No. 6
CsPb (PBE, relaxed); space group = No. 38; E = -0.167 Ry/atom; DOS(E_F) = 10.4 states/eV/cell; energy relative to the elements = 0.0 eV per formula unit; crystal system = orthorhombic; ΔE to the lowest computed polymorph = 269 meV per atom
1.0
-3.449 -2.718 -4.294
11.997 -5.709 -6.024
-0.650 -5.773 4.176
Cs Pb
6 6
direct
0.500 0.840 0.589 Cs
0.500 0.160 0.589 Cs
0.500 0.340 0.089 Cs
0.500 0.660 0.089 Cs
0.500 0.000 0.135 Cs
0.500 0.500 0.635 Cs
0.000 0.191 0.952 Pb
0.000 0.809 0.952 Pb
0.000 0.691 0.452 Pb
0.000 0.309 0.452 Pb
0.000 0.000 0.784 Pb
0.000 0.500 0.284 Pb



Which of these has the lowest DOS(E_F)? number 1



What did the sixth record say?
CsPb (PBE, relaxed); space group = No. 38; E = -0.167 Ry/atom; DOS(E_F) = 10.4 states/eV/cell; energy relative to the elements = 0.0 eV per formula unit; crystal system = orthorhombic; ΔE to the lowest computed polymorph = 269 meV per atom
1.0
-3.449 -2.718 -4.294
11.997 -5.709 -6.024
-0.650 -5.773 4.176
Cs Pb
6 6
direct
0.500 0.840 0.589 Cs
0.500 0.160 0.589 Cs
0.500 0.340 0.089 Cs
0.500 0.660 0.089 Cs
0.500 0.000 0.135 Cs
0.500 0.500 0.635 Cs
0.000 0.191 0.952 Pb
0.000 0.809 0.952 Pb
0.000 0.691 0.452 Pb
0.000 0.309 0.452 Pb
0.000 0.000 0.784 Pb
0.000 0.500 0.284 Pb